No. 1
CdRu2F8: optimized geometry, PBE-GGA.

Properties
Magnetic moment   8.017 μB per formula unit
Uncorrected energy   -4.610 eV/atom
ρ   4.42 g/cm³
Density of states at the Fermi level   5.01 states/eV per cell
Formation energy from raw total energies   -1479 meV/atom
Symmetry   P-3, No. 147

Cell: 4.1376 6.9974 6.9977 Å, 120.02 90.00 90.01°
Fractional coordinates of all 11 atoms:
Cd 0.0000 0.0000 0.0000
F 0.2499 0.6667 0.3333
F 0.7458 0.8331 0.1646
F 0.7501 0.3333 0.6667
F 0.7457 0.3315 0.1669
F 0.2542 0.1647 0.3316
F 0.2543 0.6685 0.8331
F 0.2542 0.1669 0.8354
F 0.7458 0.8353 0.6684
Ru 0.2493 0.3333 0.6667
Ru 0.7507 0.6667 0.3333

No. 2
CdRuF6: optimized geometry, PBE-GGA.

Properties
Magnetic moment   2.000 μB per formula unit
Uncorrected energy   -4.564 eV/atom
ρ   4.63 g/cm³
Density of states at the Fermi level   6.78 states/eV per cell
Formation energy from raw total energies   -1887 meV/atom
Symmetry   P312, No. 149

Cell: 4.9926 5.2128 5.2128 Å, 120.00 90.00 90.00°
Fractional coordinates of all 8 atoms:
F 0.2306 0.6639 0.6347
F 0.7694 0.3653 0.3361
F 0.2306 0.9708 0.3361
F 0.2306 0.3653 0.0292
F 0.7694 0.9708 0.6347
F 0.7694 0.6639 0.0292
Ru 0.0000 0.6667 0.3333
Cd 0.5000 0.0000 0.0000

No. 3
CdRuF2: optimized geometry, PBE-GGA.

Properties
Magnetic moment   2.774 μB per formula unit
Uncorrected energy   -3.945 eV/atom
ρ   7.28 g/cm³
Density of states at the Fermi level   1.37 states/eV per cell
Formation energy from raw total energies   -461 meV/atom
Symmetry   Fm-3m, No. 225
ΔE to the lowest computed polymorph   0.458 eV per atom

Cell: 4.3298 4.3298 4.3298 Å, 60.00 60.00 60.00°
Fractional coordinates of all 4 atoms:
F 0.2500 0.2500 0.2500
F 0.7500 0.7500 0.7500
Ru 0.0000 0.0000 0.0000
Cd 0.5000 0.5000 0.5000

No. 4
CdRu2F11: optimized geometry, PBE-GGA.

Properties
Magnetic moment   5.000 μB per formula unit
Uncorrected energy   -4.622 eV/atom
ρ   4.25 g/cm³
Density of states at the Fermi level   13.88 states/eV per cell
Formation energy from raw total energies   -1761 meV/atom
Symmetry   Ibam, No. 72

Cell: 8.8845 8.1377 8.1377 Å, 66.44 56.91 56.91°
Fractional coordinates of all 28 atoms:
F 0.5000 0.5000 0.5000
F 0.6893 0.6414 0.0949
F 0.3107 0.3586 0.9051
F 0.0743 0.1414 0.5949
F 0.8107 0.4051 0.8586
F 0.1911 0.1922 0.8078
F 0.4257 0.9051 0.3586
F 0.9062 0.4249 0.3120
F 0.3089 0.6922 0.3078
F 0.3569 0.3120 0.4249
F 0.1431 0.0751 0.1880
F 0.6911 0.3078 0.6922
F 0.1893 0.5949 0.1414
F 0.6431 0.6880 0.5751
F 0.8569 0.9249 0.8120
F 0.0000 0.0000 0.0000
F 0.4062 0.8120 0.9249
F 0.5938 0.1880 0.0751
F 0.8089 0.8078 0.1922
F 0.9257 0.8586 0.4051
F 0.0938 0.5751 0.6880
F 0.5743 0.0949 0.6414
Ru 0.1624 0.8383 0.1617
Ru 0.3376 0.3383 0.6617
Ru 0.8376 0.1617 0.8383
Ru 0.6624 0.6617 0.3383
Cd 0.2500 0.2500 0.2500
Cd 0.7500 0.7500 0.7500

Question: The highest density of states at the Fermi level belongs to which entry?
Answer: CdRu2F11

Question: The highest ρ belongs to which entry?
Answer: CdRuF2

What did the fourth record say?
CdRu2F11: optimized geometry, PBE-GGA.

Properties
Magnetic moment   5.000 μB per formula unit
Uncorrected energy   -4.622 eV/atom
ρ   4.25 g/cm³
Density of states at the Fermi level   13.88 states/eV per cell
Formation energy from raw total energies   -1761 meV/atom
Symmetry   Ibam, No. 72

Cell: 8.8845 8.1377 8.1377 Å, 66.44 56.91 56.91°
Fractional coordinates of all 28 atoms:
F 0.5000 0.5000 0.5000
F 0.6893 0.6414 0.0949
F 0.3107 0.3586 0.9051
F 0.0743 0.1414 0.5949
F 0.8107 0.4051 0.8586
F 0.1911 0.1922 0.8078
F 0.4257 0.9051 0.3586
F 0.9062 0.4249 0.3120
F 0.3089 0.6922 0.3078
F 0.3569 0.3120 0.4249
F 0.1431 0.0751 0.1880
F 0.6911 0.3078 0.6922
F 0.1893 0.5949 0.1414
F 0.6431 0.6880 0.5751
F 0.8569 0.9249 0.8120
F 0.0000 0.0000 0.0000
F 0.4062 0.8120 0.9249
F 0.5938 0.1880 0.0751
F 0.8089 0.8078 0.1922
F 0.9257 0.8586 0.4051
F 0.0938 0.5751 0.6880
F 0.5743 0.0949 0.6414
Ru 0.1624 0.8383 0.1617
Ru 0.3376 0.3383 0.6617
Ru 0.8376 0.1617 0.8383
Ru 0.6624 0.6617 0.3383
Cd 0.2500 0.2500 0.2500
Cd 0.7500 0.7500 0.7500

Question: What is the uncorrected energy in the third record?
Answer: -3.945 eV/atom